# 1
## Cs3HoBi2 (PBE-GGA)

Data for Cs3HoBi2 after structural relaxation.

Properties
total magnetic moment: 0.0 μB per formula unit
SG: C2/m
final energy: -34.6 eV/cell

Geometry as POSCAR:
```
Cs3HoBi2
1.0
10.774 -2.757 0.000
10.774 2.757 0.000
-3.350 0.000 10.976
Cs Ho Bi
6 2 4
Cartesian
0.704 0.000 1.982
2.439 0.000 6.327
3.654 0.000 10.401
14.544 0.000 0.574
15.759 0.000 4.649
17.494 0.000 8.993
8.357 0.000 3.682
9.841 0.000 7.294
-0.273 0.000 8.957
6.874 0.000 6.407
11.324 0.000 4.569
18.471 0.000 2.019
```

=====

# 2
## CsHoBi2 (PBE-GGA)

Data for CsHoBi2 after structural relaxation.

Properties
total magnetic moment: 0.0 μB per formula unit
SG: R-3m
final energy: -14.7 eV/cell

Geometry as POSCAR:
```
CsHoBi2
1.0
2.435 1.406 8.529
-2.435 1.406 8.529
0.000 -2.812 8.529
Cs Ho Bi
1 1 2
Cartesian
0.000 0.000 0.000
0.000 0.000 12.794
0.000 0.000 5.688
0.000 0.000 19.899
```

=====

# 3
## CsHoBi2 (PBE-GGA)

Data for CsHoBi2 after structural relaxation.

Properties
total magnetic moment: 0.0 μB per formula unit
SG: P4/mmm
final energy: -15.2 eV/cell

Geometry as POSCAR:
```
CsHoBi2
1.0
3.741 0.000 0.000
0.000 3.741 0.000
0.000 0.000 10.199
Cs Ho Bi
1 1 2
Cartesian
0.000 0.000 0.000
0.000 0.000 5.099
1.871 1.871 3.011
1.871 1.871 7.188
```